Entry 1:
First-principles (GGA-PBE) data for crystalline Tb4DyPbS8 at its relaxed geometry, as listed in Alexandria via LeMat-Bulk.

energy	-6.05	eV/atom
raw formation energy	-1.77	eV/atom

Cell and atoms, written as POSCAR:
```
Tb4DyPbS8
1.0
4.0898 2.3613 6.6642
-4.0898 2.3613 6.6642
0.0000 -4.7225 6.6642
Tb Dy Pb S
4 1 1 8
Cartesian
0.0000 0.0000 0.0000
0.0000 -2.3254 10.8191
-2.0139 1.1627 10.8191
2.0139 1.1627 10.8191
0.0000 0.0000 7.5386
0.0000 0.0000 14.9984
0.0000 0.0000 2.6568
0.0000 -2.2080 5.7892
-1.9121 1.1040 5.7892
-1.8211 -1.0514 9.2469
1.9122 1.1040 5.7892
1.8211 -1.0514 9.2469
0.0000 2.1029 9.2469
0.0000 0.0000 12.2321
```



Entry 2:
First-principles (GGA-PBE) data for crystalline TbDy4PbS8 at its relaxed geometry, as listed in Alexandria via LeMat-Bulk.

energy	-6.04	eV/atom
raw formation energy	-1.77	eV/atom

Cell and atoms, written as POSCAR:
```
TbDy4PbS8
1.0
4.0723 2.3511 6.6707
-4.0723 2.3511 6.6707
0.0000 -4.7022 6.6707
Tb Dy Pb S
1 4 1 8
Cartesian
0.0000 0.0000 0.0000
0.0000 2.3868 16.6242
2.0670 -1.1934 16.6242
-2.0670 -1.1934 16.6242
0.0000 0.0000 12.4719
0.0000 0.0000 7.4580
-2.1580 -1.2459 11.5763
0.0000 0.0000 4.6848
0.0000 -2.6013 8.3988
-2.2528 1.3007 8.3988
2.1580 -1.2459 11.5763
0.0000 2.4919 11.5763
0.0000 0.0000 15.1259
2.2528 1.3007 8.3988
```



Entry 3:
First-principles (GGA-PBE) data for crystalline TbDyPbS at its relaxed geometry, as listed in Alexandria via LeMat-Bulk.

energy	-5.49	eV/atom
raw formation energy	-1.22	eV/atom

Cell and atoms, written as POSCAR:
```
TbDyPbS
1.0
3.8009 0.0000 0.0000
1.8849 3.3035 0.0000
1.8906 1.0958 8.1503
Tb Dy Pb S
1 1 1 1
Cartesian
0.0000 0.0000 0.0000
1.8899 1.0924 3.1977
3.7920 2.1885 5.6814
3.7867 2.1975 1.5957
```



Entry 4:
First-principles (GGA-PBE) data for crystalline Dy6Te3PbS2 at its relaxed geometry, as listed in Alexandria via LeMat-Bulk.

energy	-5.47	eV/atom
raw formation energy	-1.39	eV/atom

Cell and atoms, written as POSCAR:
```
Dy6Te3PbS2
1.0
9.2893 -2.0957 0.0000
9.2893 2.0957 0.0000
-2.1681 0.0000 8.2578
Dy Te Pb S
6 3 1 2
Cartesian
-0.2492 0.0000 2.1183
5.0384 0.0000 3.6151
4.2278 0.0000 7.2648
12.1827 0.0000 0.9930
11.3720 0.0000 4.6427
16.6597 0.0000 6.1395
1.1969 0.0000 6.8664
8.2052 0.0000 4.1289
15.2136 0.0000 1.3914
9.2893 0.0000 0.0000
2.4224 0.0000 2.8027
13.9881 0.0000 5.4551
```



Entry 5:
First-principles (GGA-PBE) data for crystalline Dy4Te2PbS at its relaxed geometry, as listed in Alexandria via LeMat-Bulk.

energy	-5.32	eV/atom
raw formation energy	-1.26	eV/atom

Cell and atoms, written as POSCAR:
```
Dy4Te2PbS
1.0
7.3789 0.0000 0.0000
0.0000 4.2575 0.0000
-2.4576 0.0000 7.0757
Dy Te Pb S
4 2 1 1
Cartesian
1.1168 0.0000 1.5461
-0.1138 2.1288 5.4373
5.0351 2.1288 1.6385
3.8045 0.0000 5.5296
-1.2288 0.0000 3.5379
2.4606 2.1288 3.5379
3.6894 0.0000 0.0000
0.0000 2.1288 0.0000
```



Entry 6:
First-principles (GGA-PBE) data for crystalline Dy2Tm2Pb2S at its relaxed geometry, as listed in Alexandria via LeMat-Bulk.

energy	-4.95	eV/atom
raw formation energy	-0.71	eV/atom

Cell and atoms, written as POSCAR:
```
Dy2Tm2Pb2S
1.0
5.0627 0.0000 0.0000
0.0000 5.0627 0.0000
0.0000 0.0000 15.9679
Dy Tm Pb S
4 4 4 2
Cartesian
0.0000 2.5314 0.0000
0.0000 2.5314 7.9839
2.5314 0.0000 0.0000
2.5314 0.0000 7.9839
0.0000 0.0000 2.6580
0.0000 0.0000 13.3099
2.5314 2.5314 5.3259
2.5314 2.5314 10.6419
0.0000 0.0000 5.7499
0.0000 0.0000 10.2179
2.5314 2.5314 2.2340
2.5314 2.5314 13.7339
0.0000 0.0000 0.0000
2.5314 2.5314 7.9839
```



Entry 7:
First-principles (GGA-PBE) data for crystalline DyTmPbS at its relaxed geometry, as listed in Alexandria via LeMat-Bulk.

energy	-5.42	eV/atom
raw formation energy	-1.19	eV/atom

Cell and atoms, written as POSCAR:
```
DyTmPbS
1.0
3.7580 0.0000 0.0000
-1.8790 3.2545 0.0000
0.0000 0.0000 24.3903
Dy Tm Pb S
3 3 3 3
Cartesian
0.0000 0.0000 0.0000
0.0000 2.1697 16.2602
1.8790 1.0848 8.1301
0.0000 0.0000 19.4313
0.0000 2.1697 11.3012
1.8790 1.0848 3.1711
0.0000 0.0000 13.7749
0.0000 2.1697 5.6448
1.8790 1.0848 21.9050
0.0000 0.0000 9.7351
0.0000 2.1697 1.6050
1.8790 1.0848 17.8652
```



Entry 8:
First-principles (GGA-PBE) data for crystalline DyTm4PbS8 at its relaxed geometry, as listed in Alexandria via LeMat-Bulk.

energy	-5.99	eV/atom
raw formation energy	-1.76	eV/atom

Cell and atoms, written as POSCAR:
```
DyTm4PbS8
1.0
4.0228 2.3226 6.6268
-4.0228 2.3226 6.6268
0.0000 -4.6451 6.6268
Dy Tm Pb S
1 4 1 8
Cartesian
0.0000 0.0000 0.0000
0.0000 -2.3567 3.3705
-2.0410 1.1784 3.3705
0.0000 0.0000 7.4908
2.0410 1.1784 3.3705
0.0000 0.0000 12.4884
-2.2280 -1.2863 11.5187
0.0000 0.0000 4.8589
0.0000 -2.4515 8.3959
-2.1230 1.2257 8.3959
2.2280 -1.2863 11.5187
0.0000 2.5726 11.5187
0.0000 0.0000 15.2564
2.1230 1.2257 8.3959
```